Model i:
Compound: CaLaVFeO6
Source: Alexandria via LeMat-Bulk
Functional: PBE+U
Structure: optimized geometry

a b c (Å): 5.509 5.503 12.405
angles (deg): 102.54 102.36 91.34
Each line ends with the local moment (μB).
Sites, in units of the cell vectors:
1 O 0.198 0.701 0.998  0.09
2 O 0.653 0.564 0.695  0.04
3 O 0.537 0.034 0.663  0.09
4 O 0.020 0.100 0.639  0.05
5 O 0.701 0.703 0.500  0.08
6 O 0.984 0.895 0.362  0.04
7 O 0.628 0.631 0.166  0.18
8 O 0.130 0.632 0.665  0.09
9 O 0.294 0.299 0.499  0.09
10 O 0.797 0.292 0.997  0.09
11 O 0.705 0.786 0.972  0.05
12 O 0.962 0.967 0.833  0.02
13 O 0.351 0.431 0.306  0.05
14 O 0.298 0.207 0.029  0.04
15 O 0.460 0.962 0.332  0.09
16 O 0.031 0.037 0.166  0.02
17 O 0.868 0.365 0.331  0.09
18 O 0.367 0.369 0.832  0.18
19 Fe 0.498 0.499 0.999  4.34
20 Fe 0.664 0.664 0.332  4.32
21 Fe 0.333 0.334 0.666  4.32
22 Ca 0.592 0.074 0.172  0.00
23 Ca 0.260 0.742 0.505  0.00
24 Ca 0.929 0.411 0.838  0.00
25 V 0.164 0.163 0.334  1.09
26 V 0.832 0.831 0.665  1.09
27 V 0.000 0.999 0.999  1.07
28 La 0.739 0.251 0.495  0.01
29 La 0.071 0.584 0.162  0.01
30 La 0.410 0.923 0.828  0.01

Values from the calculation:
The calculation puts the calculated volume at 358 Å³/cell. For the magnetic moment, the calculation gives 0.60 μB/atom.

---

Model ii:
Compound: CaLaVFeO6
Source: Alexandria via LeMat-Bulk
Functional: PBE+U
Structure: optimized geometry

a b c (Å): 5.440 5.440 5.440
angles (deg): 60.00 60.00 60.00
Sites, in units of the cell vectors:
1 O 0.744 0.256 0.256
2 O 0.256 0.744 0.256
3 O 0.744 0.256 0.744
4 O 0.256 0.744 0.744
5 O 0.256 0.256 0.744
6 O 0.744 0.744 0.256
7 La 0.750 0.750 0.750
8 Fe 0.000 0.000 0.000
9 Ca 0.250 0.250 0.250
10 V 0.500 0.500 0.500

Values from the calculation:
The calculation puts the calculated volume at 114 Å³/cell. For the magnetic moment, the calculation gives 0.00 μB/atom.

---

List of relative energies, unit meV/atom: model i 0; model ii 267